# 1
RbNaZn2Pt | PBE | relaxed

The calculation puts the density of states at the Fermi level at 1.9 states/eV/cell. The calculated formation energy comes out at -0.96 eV per formula unit. The calculation puts the calculated volume at 138 Å³ per cell. Its spin magnetization is 0.00 Bohr magnetons per cell.

The space group is P4/mmm (No. 123) and the conventional cell measures 4.9871, 4.9871 and 5.5361 Å, with angles of 90.00, 90.00 and 90.00 degrees. Symmetry generates all atoms from Rb at (0.0000, 0.0000, 0.0000), Na at (0.5000, 0.5000, 0.0000), Zn at (0.0000, 0.5000, 0.5000) and Pt at (0.5000, 0.5000, 0.5000).

# 2
NaGa5 | PBE | relaxed

The calculation puts the density of states at the Fermi level at 4.5 states/eV/cell. The calculated formation energy comes out at -0.25 eV per formula unit. The calculation puts the calculated volume at 249 Å³ per cell. Its spin magnetization is 0.00 Bohr magnetons per cell.

The space group is Cmmm (No. 65) and the conventional cell measures 4.8090, 7.6338 and 6.7864 Å, with angles of 90.00, 90.00 and 90.00 degrees. Symmetry generates all atoms from Na at (0.0000, 0.0000, 0.0000), Ga at (0.0000, 0.0000, 0.5000) and Ga at (0.0000, 0.3279, 0.2882).

# 3
HfGaCu3 | PBE | relaxed

The calculation puts the density of states at the Fermi level at 4.4 states/eV/cell. The calculated formation energy comes out at 2.27 eV per formula unit. The calculation puts the calculated volume at 85 Å³ per cell. Its spin magnetization is 0.00 Bohr magnetons per cell.

The space group is Pm-3m (No. 221) and the conventional cell measures 4.3906, 4.3906 and 4.3906 Å, with angles of 90.00, 90.00 and 90.00 degrees. Symmetry generates all atoms from Hf at (0.0000, 0.0000, 0.0000), Ga at (0.5000, 0.5000, 0.5000) and Cu at (0.0000, 0.5000, 0.5000).

# 4
ReMo2Pb | PBE | relaxed

The calculation puts the density of states at the Fermi level at 9.0 states/eV/cell. The calculated formation energy comes out at 2.36 eV per formula unit. The calculation puts the calculated volume at 214 Å³ per cell. Its spin magnetization is 0.00 Bohr magnetons per cell.

The space group is R-3m (No. 166, hexagonal axes) and the conventional cell measures 2.9480, 2.9480 and 28.3920 Å, with angles of 90.00, 90.00 and 120.00 degrees. Symmetry generates all atoms from Re at (0.0000, 0.0000, 0.0000), Mo at (0.0000, 0.0000, 0.2576) and Pb at (0.0000, 0.0000, 0.5000).

# 5
SiHIr2Au | PBE | relaxed

The value obtained for the total energy is -5.661 eV/atom. The calculation puts the density of states at the Fermi level at 1.2 states/eV/cell. The calculation puts the calculated volume at 63 Å³ per cell. Its spin magnetization is 0.00 Bohr magnetons per cell.

The space group is P4/mmm (No. 123) and the conventional cell measures 4.0381, 4.0381 and 3.8766 Å, with angles of 90.00, 90.00 and 90.00 degrees. Symmetry generates all atoms from Si at (0.0000, 0.0000, 0.0000), H at (0.5000, 0.5000, 0.5000), Ir at (0.0000, 0.5000, 0.5000) and Au at (0.5000, 0.5000, 0.0000).

# 6
NaSr3Pt | PBE | relaxed

The calculation puts the density of states at the Fermi level at 6.0 states/eV/cell. The calculated formation energy comes out at -0.35 eV per formula unit. The calculation puts the calculated volume at 249 Å³ per cell. Its spin magnetization is 0.00 Bohr magnetons per cell.

The space group is P4mm (No. 99) and the conventional cell measures 4.9576, 4.9576 and 10.1443 Å, with angles of 90.00, 90.00 and 90.00 degrees. Symmetry generates all atoms from Na at (0.0000, 0.0000, 0.0000), Sr at (0.0000, 0.0000, 0.6111), Sr at (0.0000, 0.5000, 0.3104) and Pt at (0.5000, 0.5000, 0.4847).

# 7
CaLa2Zn | PBE | relaxed

The calculation puts the density of states at the Fermi level at 22.2 states/eV/cell. The calculated formation energy comes out at 0.49 eV per formula unit. The calculation puts the calculated volume at 489 Å³ per cell. Its spin magnetization is 8.12 Bohr magnetons per cell.

The space group is F-43m (No. 216) and the conventional cell measures 7.8781, 7.8781 and 7.8781 Å, with angles of 90.00, 90.00 and 90.00 degrees. Symmetry generates all atoms from Ca at (0.0000, 0.0000, 0.0000), La at (0.0000, 0.0000, 0.5000), La at (0.2500, 0.2500, 0.7500) and Zn at (0.2500, 0.2500, 0.2500).

# 8
Ba3Sn6Hg5 | PBE | relaxed

The calculation puts the density of states at the Fermi level at 12.6 states/eV/cell. The calculated formation energy comes out at -5.37 eV per formula unit. The calculation puts the calculated volume at 857 Å³ per cell. Its spin magnetization is 0.00 Bohr magnetons per cell.

The space group is Pmmn (No. 59, origin choice 2) and the conventional cell measures 5.0037, 14.8989 and 11.4961 Å, with angles of 90.00, 90.00 and 90.00 degrees. Symmetry generates all atoms from Ba at (0.2500, 0.0684, 0.2471), Ba at (0.2500, 0.7500, 0.2497), Sn at (0.2500, 0.0866, 0.8762), Sn at (0.2500, 0.2500, 0.0292), Sn at (0.2500, 0.2500, 0.4634), Sn at (0.2500, 0.6031, 0.5195), Hg at (0.2500, 0.0843, 0.6245), Hg at (0.2500, 0.6032, 0.9752) and Hg at (0.2500, 0.7500, 0.7546).

# 9
SbAs2S | PBE | relaxed

The calculation puts the density of states at the Fermi level at 6.7 states/eV/cell. As for the uncorrected formation energy: 167 meV/atom. The calculation puts the calculated volume at 264 Å³ per cell. Its spin magnetization is 0.00 Bohr magnetons per cell.

The space group is R-3m (No. 166, hexagonal axes) and the conventional cell measures 4.0121, 4.0121 and 18.9078 Å, with angles of 90.00, 90.00 and 120.00 degrees. Symmetry generates all atoms from Sb at (0.0000, 0.0000, 0.0000), As at (0.0000, 0.0000, 0.2453) and S at (0.0000, 0.0000, 0.5000).

# 10
BeBi2OsRu | PBE | relaxed

The calculation puts the density of states at the Fermi level at 3.1 states/eV/cell. The calculated formation energy comes out at 6.24 eV per formula unit. The calculation puts the calculated volume at 110 Å³ per cell. Its spin magnetization is 1.48 Bohr magnetons per cell.

The space group is P4/mmm (No. 123) and the conventional cell measures 5.1759, 5.1759 and 4.1054 Å, with angles of 90.00, 90.00 and 90.00 degrees. Symmetry generates all atoms from Be at (0.0000, 0.0000, 0.0000), Bi at (0.0000, 0.5000, 0.5000), Os at (0.5000, 0.5000, 0.0000) and Ru at (0.0000, 0.0000, 0.5000).

# 11
Na2GaGeRu | PBE | relaxed

The calculation puts the density of states at the Fermi level at 7.6 states/eV/cell. The calculated formation energy comes out at 5.48 eV per formula unit. The calculation puts the calculated volume at 135 Å³ per cell. Its spin magnetization is 2.99 Bohr magnetons per cell.

The space group is P4/mmm (No. 123) and the conventional cell measures 5.3293, 5.3293 and 4.7632 Å, with angles of 90.00, 90.00 and 90.00 degrees. Symmetry generates all atoms from Na at (0.0000, 0.5000, 0.0000), Ga at (0.0000, 0.0000, 0.5000), Ge at (0.0000, 0.0000, 0.0000) and Ru at (0.5000, 0.5000, 0.5000).

# 12
BiAsCl2 | PBE | relaxed

The calculation puts the density of states at the Fermi level at 5.0 states/eV/cell. As for the uncorrected formation energy: -21 meV/atom. The calculation puts the calculated volume at 299 Å³ per cell. Its spin magnetization is 0.00 Bohr magnetons per cell.

The space group is R-3m (No. 166, hexagonal axes) and the conventional cell measures 3.3983, 3.3983 and 29.8768 Å, with angles of 90.00, 90.00 and 120.00 degrees. Symmetry generates all atoms from Bi at (0.0000, 0.0000, 0.0000), As at (0.0000, 0.0000, 0.5000) and Cl at (0.0000, 0.0000, 0.0919).

# 13
Rb5SbO4F2 | PBE | relaxed

The calculation puts the density of states at the Fermi level at 0.0 states/eV/cell. As for the uncorrected formation energy: -1911 meV/atom. The calculation puts the calculated volume at 583 Å³ per cell. Its spin magnetization is 0.34 Bohr magnetons per cell.

The space group is Amm2 (No. 38) and the conventional cell measures 8.0668, 10.8031 and 6.6947 Å, with angles of 90.00, 90.00 and 90.00 degrees. Symmetry generates all atoms from Rb at (0.0000, 0.0000, 0.0000), Rb at (0.2603, 0.1836, 0.4930), Sb at (0.5000, 0.0000, 0.0053), O at (0.3093, 0.0000, 0.1772), O at (0.5000, 0.1438, 0.8373) and F at (0.0000, 0.2072, 0.7603).

# 14
Ce3GaH | PBE | relaxed

The value obtained for the total energy is -5.131 eV/atom. The calculation puts the density of states at the Fermi level at 11.8 states/eV/cell. The calculation puts the calculated volume at 106 Å³ per cell. Its spin magnetization is 2.75 Bohr magnetons per cell.

The space group is Pm-3m (No. 221) and the conventional cell measures 4.7393, 4.7393 and 4.7393 Å, with angles of 90.00, 90.00 and 90.00 degrees. Symmetry generates all atoms from Ce at (0.0000, 0.0000, 0.5000), Ga at (0.5000, 0.5000, 0.5000) and H at (0.0000, 0.0000, 0.0000).

# 15
ReOsAu2 | PBE | relaxed

The calculation puts the density of states at the Fermi level at 17.3 states/eV/cell. The calculated formation energy comes out at 2.43 eV per formula unit. The calculation puts the calculated volume at 193 Å³ per cell. Its spin magnetization is 1.38 Bohr magnetons per cell.

The space group is R-3m (No. 166, hexagonal axes) and the conventional cell measures 2.8129, 2.8129 and 28.1223 Å, with angles of 90.00, 90.00 and 120.00 degrees. Symmetry generates all atoms from Re at (0.0000, 0.0000, 0.0000), Os at (0.0000, 0.0000, 0.5000) and Au at (0.0000, 0.0000, 0.2504).

# 16
YHo6Cd | PBE | relaxed

The calculation puts the density of states at the Fermi level at 33.9 states/eV/cell. The calculated formation energy comes out at 0.45 eV per formula unit. The calculation puts the calculated volume at 732 Å³ per cell. Its spin magnetization is 0.00 Bohr magnetons per cell.

The space group is R-3 (No. 148, hexagonal axes) and the conventional cell measures 9.2132, 9.2132 and 9.9592 Å, with angles of 90.00, 90.00 and 120.00 degrees. Symmetry generates all atoms from Y at (0.0000, 0.0000, 0.0000), Ho at (0.0246, 0.2576, 0.7168) and Cd at (0.0000, 0.0000, 0.5000).

# 17
InSbHI2 | PBE | relaxed

The value obtained for the total energy is -2.518 eV/atom. The calculation puts the density of states at the Fermi level at 3.1 states/eV/cell. The calculation puts the calculated volume at 151 Å³ per cell. Its spin magnetization is 0.00 Bohr magnetons per cell.

The space group is P4/mmm (No. 123) and the conventional cell measures 6.0938, 6.0938 and 4.0764 Å, with angles of 90.00, 90.00 and 90.00 degrees. Symmetry generates all atoms from In at (0.0000, 0.0000, 0.0000), Sb at (0.5000, 0.5000, 0.0000), H at (0.5000, 0.5000, 0.5000) and I at (0.0000, 0.5000, 0.5000).

# 18
NaPu4Ge4 | PBE | relaxed

The calculation puts the density of states at the Fermi level at 59.7 states/eV/cell. The calculated formation energy comes out at -1.32 eV per formula unit. The calculation puts the calculated volume at 419 Å³ per cell. Its spin magnetization is 44.70 Bohr magnetons per cell.

The space group is P4_2/n (No. 86, origin choice 2) and the conventional cell measures 8.5692, 8.5692 and 5.7086 Å, with angles of 90.00, 90.00 and 90.00 degrees. Symmetry generates all atoms from Na at (0.2500, 0.2500, 0.2500), Pu at (0.0878, 0.8366, 0.5948) and Ge at (0.0382, 0.1296, 0.8942).

# 19
PRhS2Br | PBE | relaxed

The calculation puts the density of states at the Fermi level at 6.1 states/eV/cell. As for the uncorrected formation energy: 598 meV/atom. The calculation puts the calculated volume at 103 Å³ per cell. Its spin magnetization is 0.00 Bohr magnetons per cell.

The space group is P4/mmm (No. 123) and the conventional cell measures 4.6230, 4.6230 and 4.8026 Å, with angles of 90.00, 90.00 and 90.00 degrees. Symmetry generates all atoms from P at (0.0000, 0.0000, 0.0000), Rh at (0.0000, 0.0000, 0.5000), S at (0.0000, 0.5000, 0.5000) and Br at (0.5000, 0.5000, 0.0000).

# 20
CsNa9Cd2 | PBE | relaxed

The calculation puts the density of states at the Fermi level at 8.1 states/eV/cell. The calculated formation energy comes out at 0.04 eV per formula unit. The calculation puts the calculated volume at 461 Å³ per cell. Its spin magnetization is 0.00 Bohr magnetons per cell.

The space group is P6/mmm (No. 191) and the conventional cell measures 11.5107, 11.5107 and 4.0160 Å, with angles of 90.00, 90.00 and 120.00 degrees. Symmetry generates all atoms from Cs at (0.0000, 0.0000, 0.0000), Na at (0.0000, 0.5000, 0.0000), Na at (0.2032, 0.4065, 0.5000) and Cd at (0.3333, 0.6667, 0.0000).